No. 1
Density functional theory data (GGA-PBE) for a relaxed structure of La2HgC2N6.

Summary:
Total energy   -7.357 eV/atom
Formation energy without anion corrections   -216 meV/atom
D(E_F)   0.000 states/eV per cell

Cell lengths 6.5468, 6.5468, 6.5195 Å; angles 111.23, 111.23, 53.15 degrees
Sites, in units of the cell vectors:
La  0.1537  0.1537  0.2671
La  0.8463  0.8463  0.7329
Hg  0.5000  0.5000  0.0000
C  0.1403  0.1403  0.7455
C  0.8597  0.8597  0.2545
N  0.0614  0.3487  0.6660
N  0.0663  0.0663  0.8471
N  0.3487  0.0614  0.6660
N  0.6513  0.9386  0.3340
N  0.9337  0.9337  0.1529
N  0.9386  0.6513  0.3340


No. 2
Density functional theory data (GGA-PBE) for a relaxed structure of LaHgCN2.

Summary:
Total energy   -4.307 eV/atom
Formation energy without anion corrections   1914 meV/atom
D(E_F)   3.559 states/eV per cell

Cell lengths 4.4080, 4.4080, 5.0687 Å; angles 90.00, 90.00, 90.00 degrees
Sites, in units of the cell vectors:
La  0.0000  0.0000  0.0000
Hg  0.5000  0.5000  0.5000
C  0.0000  0.0000  0.5000
N  0.0000  0.5000  0.0000
N  0.5000  0.0000  0.0000


No. 3
Density functional theory data (GGA-PBE) for a relaxed structure of Na2LaHgC.

Summary:
Energy of formation from the pure elements   225 meV/atom
Total energy   -3.194 eV/atom
D(E_F)   1.499 states/eV per cell

Cell lengths 5.1430, 5.1430, 4.7802 Å; angles 90.00, 90.00, 90.00 degrees
Sites, in units of the cell vectors:
Na  0.0000  0.5000  0.0000
Na  0.5000  0.0000  0.0000
La  0.0000  0.0000  0.5000
Hg  0.5000  0.5000  0.5000
C  0.0000  0.0000  0.0000


No. 4
Density functional theory data (GGA-PBE) for a relaxed structure of LaNd2HgC.

Summary:
Energy of formation from the pure elements   -255 meV/atom
Total energy   -5.053 eV/atom
D(E_F)   9.934 states/eV per cell

Cell lengths 7.2757, 7.2757, 7.2757 Å; angles 120.57, 120.57, 89.01 degrees
Sites, in units of the cell vectors:
La  0.0000  0.0000  0.0000
La  0.5000  0.5000  0.0000
Nd  0.0584  0.5584  0.1165
Nd  0.4418  0.9418  0.8835
Nd  0.5584  0.4418  0.5000
Nd  0.9418  0.0584  0.5000
Hg  0.0000  0.5000  0.5000
Hg  0.5000  0.0000  0.5000
C  0.2505  0.2505  0.0000
C  0.7505  0.7505  0.0000


No. 5
Density functional theory data (GGA-PBE) for a relaxed structure of LaHg2OsC.

Summary:
Energy of formation from the pure elements   1049 meV/atom
Total energy   -4.148 eV/atom
D(E_F)   3.260 states/eV per cell

Cell lengths 4.4424, 4.4424, 5.2608 Å; angles 90.00, 90.00, 90.00 degrees
Sites, in units of the cell vectors:
La  0.0000  0.0000  0.0000
Hg  0.0000  0.5000  0.5000
Hg  0.5000  0.0000  0.5000
Os  0.5000  0.5000  0.0000
C  0.0000  0.0000  0.5000


No. 6
Density functional theory data (GGA-PBE) for a relaxed structure of La2HgOsC.

Summary:
Energy of formation from the pure elements   -339 meV/atom
Total energy   -6.461 eV/atom
D(E_F)   2.841 states/eV per cell

Cell lengths 5.4061, 5.4061, 3.9420 Å; angles 90.00, 90.00, 90.00 degrees
Sites, in units of the cell vectors:
La  0.0000  0.5000  0.0000
La  0.5000  0.0000  0.0000
Hg  0.0000  0.0000  0.5000
Os  0.5000  0.5000  0.5000
C  0.5000  0.5000  0.0000


No. 7
Density functional theory data (GGA-PBE) for a relaxed structure of La4Pm3Hg3C2.

Summary:
Energy of formation from the pure elements   -292 meV/atom
Total energy   -4.735 eV/atom
D(E_F)   12.322 states/eV per cell

Cell lengths 13.1801, 13.1801, 13.1801 Å; angles 157.45, 157.08, 32.37 degrees
Sites, in units of the cell vectors:
La  0.0946  0.0946  0.0000
La  0.3004  0.8004  0.5000
La  0.6996  0.1996  0.5000
La  0.9054  0.9054  0.0000
Pm  0.4037  0.4037  0.0000
Pm  0.5000  0.0000  0.5000
Pm  0.5963  0.5963  0.0000
Hg  0.0000  0.5000  0.5000
Hg  0.1742  0.6742  0.5000
Hg  0.8258  0.3258  0.5000
C  0.3963  0.8963  0.5000
C  0.6037  0.1037  0.5000


No. 8
Density functional theory data (GGA-PBE) for a relaxed structure of La2PmHgC.

Summary:
Energy of formation from the pure elements   -255 meV/atom
Total energy   -5.081 eV/atom
D(E_F)   10.786 states/eV per cell

Cell lengths 7.3037, 7.3037, 7.3037 Å; angles 120.34, 120.34, 89.42 degrees
Sites, in units of the cell vectors:
La  0.2014  0.7014  0.9027
La  0.2986  0.2014  0.5000
La  0.7014  0.7986  0.5000
La  0.7986  0.2986  0.0973
Pm  0.2474  0.2474  0.0000
Pm  0.7474  0.7474  0.0000
Hg  0.2499  0.7499  0.5000
Hg  0.7499  0.2499  0.5000
C  0.0114  0.0114  0.0000
C  0.5114  0.5114  0.0000


Question: Look up the total energy of the seventh one.
Answer: -4.735 eV/atom


Question: What is the total energy in the seventh record?
Answer: -4.735 eV/atom


Question: Which of these has the highest D(E_F)?
Answer: La4Pm3Hg3C2